{
  "formula": "BeTl2Br",
  "functional": "PBE",
  "state": "relaxed",
  "lattice": [[-6.6591, -5.3386, -0.2574], [5.4540, -1.0595, -0.0493], [-0.2869, -1.9571, 2.9034]],
  "species": ["Tl", "Tl", "Be", "Br"],
  "fractional_positions": [[0.5000, 0.0000, 0.5000], [0.0000, 0.0000, 0.0000], [0.0000, 0.5000, 0.5000], [0.5000, 0.5000, 0.0000]],
  "final_energy_ev_per_atom": -2.250,
  "formation_energy_uncorrected_mev_per_atom": 283,
  "dos_at_fermi_per_ev_fu": 1.500
}